The following is a DFT calculation (GGA-PBE) of an optimized crystal structure of Dy3PuP4.

## Properties
**SG**: P2/c, No. 13
**Total DFT energy (no corrections)**: -7.72 eV/atom
**Spin magnetization**: 4.9 μB/f.u.
**DFT formation energy**: -1.494 eV per atom

abc: 6.937 6.916 8.006
angles: 90.00 90.00 109.50
Each line ends with the local moment (μB).
Sites, in units of the cell vectors:
1 P 0.998 0.250 0.626  -0.05
2 P 0.501 0.245 0.878  -0.08
3 P 0.498 0.250 0.374  -0.05
4 P 0.001 0.245 0.122  -0.08
5 P 0.999 0.755 0.878  -0.08
6 P 0.502 0.750 0.626  -0.05
7 P 0.499 0.755 0.122  -0.08
8 P 0.002 0.750 0.374  -0.05
9 Pu 0.750 0.000 0.874  4.89
10 Pu 0.250 0.000 0.126  4.89
11 Dy 0.750 0.000 0.376  0.03
12 Dy 0.250 0.000 0.624  0.03
13 Dy 0.750 0.500 0.624  0.01
14 Dy 0.750 0.500 0.126  0.02
15 Dy 0.250 0.500 0.376  0.01
16 Dy 0.250 0.500 0.874  0.02


The following is a DFT calculation (GGA-PBE) of an optimized crystal structure of Mg6TlAg.

## Properties
**SG**: I4/mmm, No. 139
**Total DFT energy (no corrections)**: -1.88 eV/atom
**Energy above the lowest structure with this stoichiometry**: 32.3 meV per atom
**Spin magnetization**: 0.0 μB/f.u.
**DFT formation energy**: -0.035 eV per atom

abc: 4.672 4.672 8.794
angles: 74.60 74.60 90.00
Sites, in units of the cell vectors:
1 Mg 0.749 0.749 0.502
2 Mg 0.618 0.118 0.765
3 Mg 0.118 0.618 0.765
4 Mg 0.382 0.882 0.235
5 Mg 0.251 0.251 0.498
6 Mg 0.882 0.382 0.235
7 Tl 0.000 0.000 0.000
8 Ag 0.500 0.500 0.000